NaInFeTe after structural relaxation, computed with PBE.

Cell and atoms, written as extended XYZ:
```
4
Lattice="0.0000 3.6253 3.6253 3.6253 0.0000 3.6253 3.6253 3.6253 0.0000" Properties=species:S:1:pos:R:3 pbc="T T T"
Na 0.0000 0.0000 0.0000
In 5.4380 5.4380 5.4380
Fe 1.8127 1.8127 1.8127
Te 3.6253 3.6253 3.6253
```

Calculated values
Relative energy among the computed polymorphs, eV/f.u.: 0.76

=====

NaInFeTe after structural relaxation, computed with PBE.

Cell and atoms, written as extended XYZ:
```
4
Lattice="0.0000 3.5195 3.5195 3.5195 0.0000 3.5195 3.5195 3.5195 0.0000" Properties=species:S:1:pos:R:3 pbc="T T T"
Na 0.0000 0.0000 0.0000
In 5.2792 5.2792 5.2792
Fe 3.5195 3.5195 3.5195
Te 1.7597 1.7597 1.7597
```

Calculated values
Relative energy among the computed polymorphs, eV/f.u.: 0.00

=====

NaInFeTe after structural relaxation, computed with PBE.

Cell and atoms, written as extended XYZ:
```
4
Lattice="0.0000 3.6585 3.6585 3.6585 0.0000 3.6585 3.6585 3.6585 0.0000" Properties=species:S:1:pos:R:3 pbc="T T T"
Na 0.0000 0.0000 0.0000
In 3.6585 3.6585 3.6585
Fe 5.4878 5.4878 5.4878
Te 1.8292 1.8292 1.8292
```

Calculated values
Relative energy among the computed polymorphs, eV/f.u.: 0.75

=====

NaInFeW after structural relaxation, computed with PBE.

Cell and atoms, written as extended XYZ:
```
4
Lattice="0.0000 3.2499 3.2499 3.2499 0.0000 3.2499 3.2499 3.2499 0.0000" Properties=species:S:1:pos:R:3 pbc="T T T"
Na 0.0000 0.0000 0.0000
In 4.8749 4.8749 4.8749
Fe 1.6250 1.6250 1.6250
W 3.2499 3.2499 3.2499
```

Calculated values
Relative energy among the computed polymorphs, eV/f.u.: 0.34

=====

NaInFeW after structural relaxation, computed with PBE.

Cell and atoms, written as extended XYZ:
```
4
Lattice="0.0000 3.1414 3.1414 3.1414 0.0000 3.1414 3.1414 3.1414 0.0000" Properties=species:S:1:pos:R:3 pbc="T T T"
Na 0.0000 0.0000 0.0000
In 4.7120 4.7120 4.7120
Fe 3.1414 3.1414 3.1414
W 1.5707 1.5707 1.5707
```

Calculated values
Relative energy among the computed polymorphs, eV/f.u.: 0.00

=====

NbIn2Fe after structural relaxation, computed with PBE.

Cell and atoms, written as extended XYZ:
```
4
Lattice="0.0000 3.3166 3.3166 3.3166 0.0000 3.3166 3.3166 3.3166 0.0000" Properties=species:S:1:pos:R:3 pbc="T T T"
Nb 0.0000 0.0000 0.0000
In 1.6583 1.6583 1.6583
In 3.3166 3.3166 3.3166
Fe 4.9749 4.9749 4.9749
```

=====

| no. | E (eV/cell) |
| --- | --- |
| 1 | -13.9 |
| 2 | -14.6 |
| 3 | -13.9 |
| 4 | -22.1 |
| 5 | -22.4 |
| 6 | -22.3 |